This record from the Alexandria database describes a relaxed structure of Ca3Tb2SmTe6. The functional is PBE.

As for the total energy: -4.713 eV per atom. Its formation energy (no corrections) is -1476 meV per atom.

It has space group C2/m (No. 12), with a = 7.644 Å, b = 13.223 Å, c = 7.802 Å, α = 90.00°, β = 109.08° and γ = 90.00°. The asymmetric unit holds Ca at (0.000, 0.000, 0.000), Ca at (0.000, 0.335, 0.000), Tb at (0.000, 0.167, 0.500), Sm at (0.000, 0.500, 0.500), Te at (0.245, 0.000, 0.747) and Te at (0.248, 0.169, 0.252).


This record from the Alexandria database describes a relaxed structure of Hg3H2Pd4. The functional is PBE.

As for the total energy: -3.259 eV per atom.

It has space group C2/m (No. 12), with a = 12.192 Å, b = 3.040 Å, c = 7.619 Å, α = 90.00°, β = 98.17° and γ = 90.00°. The asymmetric unit holds Hg at (0.000, 0.000, 0.000), Hg at (0.138, 0.500, 0.694), H at (0.144, 0.500, 0.319), Pd at (0.074, 0.000, 0.372) and Pd at (0.192, 0.500, 0.113).


This record from the Alexandria database describes a relaxed structure of Ac6Nd5Sc. The functional is PBE.

As for the total energy: -4.470 eV per atom. The calculation puts the formation energy at 10 kJ per mole of atoms.

It has space group Immm (No. 71), with a = 6.170 Å, b = 8.030 Å, c = 18.916 Å, α = 90.00°, β = 90.00° and γ = 90.00°. The asymmetric unit holds Ac at (0.000, 0.238, 0.000), Ac at (0.000, 0.259, 0.347), Nd at (0.000, 0.000, 0.179), Nd at (0.000, 0.000, 0.500), Nd at (0.000, 0.500, 0.175) and Sc at (0.000, 0.500, 0.500).


This record from the Alexandria database describes a relaxed structure of Ce2Nd7Ho2. The functional is PBE.

As for the total energy: -4.754 eV per atom. The calculation puts the formation energy at 19 kJ per mole of atoms.

It has space group C2/m (No. 12), with a = 11.229 Å, b = 11.777 Å, c = 6.104 Å, α = 90.00°, β = 111.76° and γ = 90.00°. The asymmetric unit holds Ce at (0.000, 0.216, 0.000), Nd at (0.000, 0.000, 0.500), Nd at (0.090, 0.500, 0.304), Nd at (0.173, 0.243, 0.682) and Ho at (0.224, 0.000, 0.078).


This record from the Alexandria database describes a relaxed structure of BeSbOs2. The functional is PBE.

As for the total energy: -7.148 eV per atom. Its formation energy (no corrections) is 429 meV per atom.

It has space group Immm (No. 71), with a = 3.013 Å, b = 4.749 Å, c = 8.122 Å, α = 90.00°, β = 90.00° and γ = 90.00°. The asymmetric unit holds Be at (0.000, 0.000, 0.000), Sb at (0.000, 0.000, 0.500) and Os at (0.000, 0.500, 0.286).


This record from the Alexandria database describes a relaxed structure of MgZn4Ga. The functional is PBE.

As for the total energy: -1.626 eV per atom. The calculation puts the formation energy at -1 kJ per mole of atoms.

It has space group Cmcm (No. 63), with a = 3.929 Å, b = 15.293 Å, c = 6.886 Å, α = 90.00°, β = 90.00° and γ = 90.00°. The asymmetric unit holds Mg at (0.000, 0.114, 0.250), Zn at (0.000, 0.067, 0.750), Zn at (0.000, 0.334, 0.058), Zn at (0.000, 0.500, 0.000) and Ga at (0.000, 0.242, 0.750).


This record from the Alexandria database describes a relaxed structure of BaBe2W. The functional is PBE.

As for the total energy: -4.968 eV per atom. The calculation puts the formation energy at 59 kJ per mole of atoms.

It has space group Cm (No. 8), with a = 6.635 Å, b = 3.834 Å, c = 6.617 Å, α = 90.00°, β = 109.51° and γ = 90.00°. The asymmetric unit holds Ba at (0.000, 0.000, 0.000), Be at (0.310, 0.500, 0.426), Be at (0.481, 0.000, 0.437) and W at (0.196, 0.000, 0.584).